No. 1
Here is Nd4Sm2Ho3 after structural relaxation from Alexandria via LeMat-Bulk. Energies are from GGA-PBE.

Unit cell a=3.629 b=3.629 c=26.903 alpha=90.00 beta=90.00 gamma=120.00
Element x y z (fractional)
Nd: 0.000 0.000 0.000
Nd: 0.000 0.000 0.214
Nd: 0.333 0.667 0.328
Nd: 0.333 0.667 0.544
Sm: 0.000 0.000 0.656
Sm: 0.000 0.000 0.867
Ho: 0.000 0.000 0.436
Ho: 0.333 0.667 0.105
Ho: 0.333 0.667 0.763

## Properties
As for the energy above the most stable polymorph in this dataset: 0.42 kJ per mole of atoms.

No. 2
Here is Mn6Fe5Ru after structural relaxation from Alexandria via LeMat-Bulk. Energies are from GGA-PBE.

Unit cell a=6.333 b=6.333 c=5.741 alpha=90.00 beta=90.00 gamma=143.14
Element x y z (fractional)
Mn: 0.000 0.000 0.238
Mn: 0.000 0.000 0.762
Mn: 0.329 0.671 0.247
Mn: 0.329 0.671 0.753
Mn: 0.671 0.329 0.247
Mn: 0.671 0.329 0.753
Fe: 0.165 0.835 0.500
Fe: 0.166 0.834 0.000
Fe: 0.500 0.500 0.000
Fe: 0.834 0.166 0.000
Fe: 0.835 0.165 0.500
Ru: 0.500 0.500 0.500

No. 3
Here is AlPbSe2 after structural relaxation from Alexandria via LeMat-Bulk. Energies are from GGA-PBE.

Unit cell a=5.092 b=5.092 c=3.638 alpha=90.00 beta=90.00 gamma=90.00
Element x y z (fractional)
Al: 0.000 0.000 0.000
Pb: 0.500 0.500 0.000
Se: 0.000 0.500 0.500
Se: 0.500 0.000 0.500

## Properties
For the uncorrected formation energy, the calculation gives -0.098 eV per atom.

No. 4
Here is YGa2H after structural relaxation from Alexandria via LeMat-Bulk. Energies are from GGA-PBE.

Unit cell a=5.922 b=5.922 c=8.106 alpha=90.00 beta=90.00 gamma=90.00
Element x y z (fractional)
Y: 0.000 0.000 0.000
Y: 0.000 0.500 0.250
Y: 0.500 0.000 0.750
Y: 0.500 0.500 0.500
Ga: 0.080 0.750 0.625
Ga: 0.250 0.080 0.375
Ga: 0.250 0.420 0.875
Ga: 0.420 0.750 0.125
Ga: 0.580 0.250 0.125
Ga: 0.750 0.580 0.875
Ga: 0.750 0.920 0.375
Ga: 0.920 0.250 0.625
H: 0.000 0.000 0.500
H: 0.000 0.500 0.750
H: 0.500 0.000 0.250
H: 0.500 0.500 0.000

## Properties
As for the energy above the most stable polymorph in this dataset: 0.00 kJ per mole of atoms.

No. 5
Here is CrBP2S after structural relaxation from Alexandria via LeMat-Bulk. Energies are from GGA-PBE.

Unit cell a=4.494 b=4.494 c=4.287 alpha=90.00 beta=90.00 gamma=90.00
Element x y z (fractional)
Cr: 0.000 0.000 0.000
B: 0.500 0.500 0.500
P: 0.000 0.500 0.000
P: 0.500 0.000 0.000
S: 0.000 0.000 0.500

## Properties
For the uncorrected formation energy, the calculation gives 1.211 eV per atom. As for the energy above the most stable polymorph in this dataset: 41.53 kJ per mole of atoms.

No. 6
Here is HfZr3Tl after structural relaxation from Alexandria via LeMat-Bulk. Energies are from GGA-PBE.

Unit cell a=5.682 b=5.882 c=8.067 alpha=74.61 beta=72.42 gamma=65.28
Element x y z (fractional)
Hf: 0.247 0.259 0.479
Hf: 0.753 0.741 0.521
Zr: 0.077 0.204 0.876
Zr: 0.185 0.713 0.722
Zr: 0.314 0.787 0.323
Zr: 0.686 0.213 0.677
Zr: 0.815 0.287 0.278
Zr: 0.923 0.796 0.124
Tl: 0.413 0.277 0.076
Tl: 0.587 0.723 0.924

## Properties
As for the energy above the most stable polymorph in this dataset: 0.00 kJ per mole of atoms.

No. 7
Here is VNi4Ir after structural relaxation from Alexandria via LeMat-Bulk. Energies are from GGA-PBE.

Unit cell a=4.643 b=4.643 c=4.643 alpha=60.00 beta=60.00 gamma=60.00
Element x y z (fractional)
V: 0.000 0.000 0.000
Ni: 0.375 0.375 0.375
Ni: 0.375 0.375 0.874
Ni: 0.375 0.874 0.375
Ni: 0.874 0.375 0.375
Ir: 0.750 0.750 0.750

## Properties
As for the energy above the most stable polymorph in this dataset: 7.01 kJ per mole of atoms.

No. 8
Here is Cs2KP2Se6 after structural relaxation from Alexandria via LeMat-Bulk. Energies are from GGA-PBE.

Unit cell a=7.672 b=7.672 c=9.784 alpha=111.65 beta=111.65 gamma=58.07
Element x y z (fractional)
Cs: 0.202 0.202 0.211
Cs: 0.798 0.798 0.789
K: 0.000 0.000 0.500
P: 0.462 0.462 0.728
P: 0.538 0.538 0.272
Se: 0.199 0.696 0.196
Se: 0.289 0.289 0.673
Se: 0.304 0.801 0.804
Se: 0.696 0.199 0.196
Se: 0.711 0.711 0.327
Se: 0.801 0.304 0.804

## Properties
For the uncorrected formation energy, the calculation gives -0.590 eV per atom.

These records have N(E_F) values of 1.865 1.383 0.316 0.523 0.958 1.236 1.163 0.390 states/eV/atom, in the order they appear.
These records have total energy values of -4.6386 -8.7525 -3.7031 -3.9817 -5.0391 -7.5792 -6.9559 -3.7288 eV per atom, in the order they appear.